Compound: Sm2Y2HoTm2
Source: Alexandria via LeMat-Bulk
Functional: PBE
Structure: relaxed

The structure belongs to space group C2/m (No. 12); the cell edges are 11.673, 3.502 and 11.748 Å and the angles 90.00°, 108.90° and 90.00°. Symmetry generates all atoms from Sm at (0.172, 0.000, 0.085), Y at (0.049, 0.000, 0.770), Ho at (0.000, 0.500, 0.500) and Tm at (0.228, 0.500, 0.365).

=====

Compound: SmY2Ho6Tm
Source: Alexandria via LeMat-Bulk
Functional: PBE
Structure: relaxed

The structure belongs to space group C2/c (No. 15); the cell edges are 9.086, 14.972 and 9.446 Å and the angles 90.00°, 96.43° and 90.00°. Symmetry generates all atoms from Sm at (0.000, 0.027, 0.250), Y at (0.248, 0.448, 0.453), Ho at (0.061, 0.186, 0.942), Ho at (0.099, 0.390, 0.117), Ho at (0.209, 0.225, 0.315) and Tm at (0.000, 0.410, 0.750).

=====

Compound: SmY2Ho4Tm2
Source: Alexandria via LeMat-Bulk
Functional: PBE
Structure: relaxed

The structure belongs to space group P-1 (No. 2); the cell edges are 5.987, 6.614 and 8.540 Å and the angles 79.70°, 70.38° and 63.79°. Symmetry generates all atoms from Sm at (0.000, 0.000, 0.000), Y at (0.269, 0.672, 0.657), Ho at (0.269, 0.418, 0.118), Ho at (0.375, 0.873, 0.242) and Tm at (0.183, 0.227, 0.555).

=====

| no. | ΔE_f (eV per atom) | DOS at the Fermi energy (states/eV per cell) | total magnetization (μB/cell) |
| --- | --- | --- | --- |
| 1 | 0.089 | 23.766 | 0.0 |
| 2 | 0.125 | 58.421 | 0.0 |
| 3 | 0.085 | 16.450 | 0.0 |